Below is a relaxed AcLaGe crystal, with properties calculated at the GGA-PBE level.

For the formation energy from the elements, the calculation gives -1.1 eV per formula unit. For the total energy, the calculation gives -14.8 eV per cell. As for the space group: P3m1, No. 156. The value obtained for the density of states at the Fermi level is 2.01 states/eV/cell. For the offset from the most stable computed form, the calculation gives 0.183 eV/atom. As for the magnetic moment: 0.000 μB/f.u.

Cell: 4.620 4.964 4.964 Å, 120.00 90.00 90.00°
Element x y z (fractional)
Ac  0.700  0.333  0.667
La  0.244  0.667  0.333
Ge  0.056  0.000  0.000